Density functional theory data (GGA+U) for crystalline Ac5Co2O12 at its relaxed geometry.

Unit cell a=13.0652 b=6.2202 c=8.0004 alpha=90.00 beta=107.22 gamma=90.00
With the nearest neighbours (Å) after each atom.
Space group C2/m (No. 12)
Asymmetric unit:
Ac (0.0000, 0.0000, 0.0000) x2  6 O 2.50-2.70
Ac (0.1833, 0.5000, 0.8526) x4  7 O 2.45-2.65
Ac (0.1914, 0.5000, 0.3374) x4  7 O 2.47-2.61
Co (0.0000, 0.2383, 0.5000) x4  4 O 1.82-1.97
O (0.0011, 0.0000, 0.6629) x4  2 Co 1.97
O (0.0026, 0.5000, 0.3374) x4  2 Co 2.09
O (0.1455, 0.2538, 0.5703) x8  1 Co 1.82
O (0.1566, 0.2501, 0.0848) x8  4 Ac 2.48-2.54

Computed properties:
final energy: -273.4 eV for the cell shown
DOS(E_F): 2.07 states/eV/f.u.
volume: 621.04 Å³ per cell